[1]
{"formula": "CuRe2W", "functional": "GGA-PBE", "state": "optimized geometry", "e_form_ev_per_atom": 0.3066, "m_tot_mub_per_fu": 0.000, "density_g_cm3": 17.28, "spacegroup": "R-3m", "volume_a3_per_cell": 59.5, "lattice": [[9.1743, -0.0034, -0.0020], [8.7606, 2.7241, -0.0020], [8.7606, 1.3289, 2.3779]], "species": ["Cu", "Re", "Re", "W"], "frac_coords": [[0.7500, 0.7500, 0.7500], [0.0020, 0.0020, 0.0020], [0.4980, 0.4980, 0.4980], [0.2500, 0.2500, 0.2500]]}

---

[2]
{"formula": "CuPbS3", "functional": "GGA-PBE", "state": "optimized geometry", "m_tot_mub_per_fu": 0.000, "density_g_cm3": 6.16, "spacegroup": "Pm-3m", "raw_formation_energy_mev_per_atom": 119, "volume_a3_per_cell": 99.0, "lattice": [[4.6256, 0.0000, 0.0000], [0.0000, 4.6256, 0.0000], [0.0000, 0.0000, 4.6256]], "species": ["Pb", "S", "S", "S", "Cu"], "frac_coords": [[0.5000, 0.5000, 0.5000], [0.0000, 0.5000, 0.0000], [0.0000, 0.0000, 0.5000], [0.5000, 0.0000, 0.0000], [0.0000, 0.0000, 0.0000]]}